Arrangement one

Compound: AcLaNdMg
Source: the Alexandria database
Functional: PBE
Structure: relaxed

- Mass density: 6.3 g/cm³
- Space-group type: P4mm

a b c (Å): 3.8978 3.8978 9.2610
angles (deg): 90.00 90.00 90.00
Sites, in units of the cell vectors:
Ac 0.0000 0.0000 0.0754
La 0.5000 0.5000 0.7880
Nd 0.5000 0.5000 0.3561
Mg 0.0000 0.0000 0.5653


Arrangement two

Compound: AcLaNdMg
Source: the Alexandria database
Functional: PBE
Structure: relaxed

- Mass density: 6.3 g/cm³
- Space-group type: F-43m

a b c (Å): 5.8493 5.8493 5.8493
angles (deg): 60.00 60.00 60.00
Sites, in units of the cell vectors:
Ac 0.5000 0.5000 0.5000
Nd 0.2500 0.2500 0.2500
Mg 0.0000 0.0000 0.0000
La 0.7500 0.7500 0.7500


Ranking the structures above by stability puts arrangement one first and arrangement two last.